A plane-wave DFT calculation with GGA-PBEsol was carried out for a geometry-optimized SrAlSe structure.

Output
Energy above the lowest structure with this stoichiometry: 393 meV per atom
Fermi-level density of states: 0.891 states/eV per atom
ΔE_f (raw): -0.221 eV/atom

abc: 5.0982 5.0982 5.0982
angles: 60.00 60.00 60.00
Last column: nearest neighbours and their distance in Å.
Atoms (fractional coordinates):
Sr: 0.0000 0.0000 0.0000  4 Se 3.12, 4 Al 3.12
Al: 0.2500 0.2500 0.2500  4 Sr 3.12
Se: 0.7500 0.7500 0.7500  4 Sr 3.12